Entry 1:
Below is a relaxed structure of Na3PdRh2O6, with properties calculated at the PBE-GGA level.

Cell and atoms, written as extended XYZ:
```
12
Lattice="-4.5326 3.0925 1.0140 -0.3548 -5.5106 -0.8028 2.2201 0.0150 5.0344" Properties=species:S:1:pos:R:3 pbc="T T T"
Na 0.0650 -4.0817 2.0146
Na -2.7323 1.6787 3.2311
Na -1.3336 -1.2015 2.6228
Pd 0.0000 0.0000 0.0000
Rh -1.7454 -2.6469 -0.1980
Rh -3.1419 0.2289 0.4093
O -2.7026 -0.3179 4.4896
O -3.1499 -1.7693 1.1349
O 0.0353 -2.0852 0.7560
O -1.2290 -3.3523 3.8488
O 0.4826 -0.6337 4.1108
O -1.4382 0.9493 1.3968
```

***

Entry 2:
Below is a relaxed structure of Na2PdRh2O6, with properties calculated at the PBE-GGA level.

Cell and atoms, written as extended XYZ:
```
11
Lattice="-4.3783 2.6458 -1.7865 -0.5039 -4.9316 2.1878 0.9951 2.9784 4.7085" Properties=species:S:1:pos:R:3 pbc="T T T"
Na -3.7321 1.3820 -1.1237
Na -1.1501 -3.6678 1.5249
Pd 0.4975 1.4892 2.3543
Rh -1.3016 -0.9093 3.2134
Rh -2.5855 1.6019 1.8964
O -2.8959 0.3852 3.5574
O 0.2221 0.2546 4.0133
O -0.9912 0.3074 1.5524
O -1.0850 2.8109 2.6725
O -4.1092 0.4380 1.0965
O -2.8021 -2.1183 2.4373
```

***

Entry 3:
Below is a relaxed structure of Na3Pd2RhO6, with properties calculated at the PBE-GGA level.

Cell and atoms, written as extended XYZ:
```
12
Lattice="5.4946 0.1683 -0.0517 -2.6002 4.8434 -0.0517 -1.0131 -1.7542 5.2637" Properties=species:S:1:pos:R:3 pbc="T T T"
Na -1.7409 3.1775 2.5802
Na 3.6223 0.0800 2.5802
Na 0.9407 1.6287 2.5802
Pd 0.0954 3.2866 -0.0517
Pd 2.7990 1.7251 -0.0517
Rh 0.0000 0.0000 0.0000
O 2.8195 1.7696 4.0653
O 1.9671 3.4061 0.9182
O -0.9382 1.4879 1.0951
O 0.1237 3.3265 4.0653
O -0.0858 -0.1486 4.2422
O 1.7576 -0.0690 1.0951
```

***

Entry 4:
Below is a relaxed structure of Na4PdRh3O8, with properties calculated at the PBE-GGA level.

Cell and atoms, written as extended XYZ:
```
16
Lattice="-4.0458 -3.4035 3.4211 -1.5435 -3.3547 -5.1628 6.1381 0.3942 1.8552" Properties=species:S:1:pos:R:3 pbc="T T T"
Na -2.0229 -1.7018 1.7106
Na 1.0461 -1.5046 2.6382
Na 0.0000 0.0000 0.0000
Na 3.0690 0.1971 0.9276
Pd -0.7718 -1.6774 -2.5814
Rh -2.7947 -3.3791 -0.8709
Rh 0.2744 -3.1820 0.0568
Rh 2.2973 -1.4803 -1.6538
O 3.8752 -2.7136 -1.0394
O 0.9739 -3.0710 -1.9035
O 1.7585 -1.7261 0.3623
O 1.8351 -4.4298 0.6857
O -1.2864 -1.9342 -0.5722
O -1.2097 -4.6379 -0.2488
O -0.4252 -3.2930 2.0170
O -3.3264 -3.6504 1.1529
```

***

Entry 5:
Below is a relaxed structure of Na3PdRh3O8, with properties calculated at the PBE-GGA level.

Cell and atoms, written as extended XYZ:
```
15
Lattice="6.2664 -0.0001 0.0000 -3.1333 5.4271 -0.0191 0.0000 -3.5999 5.3248" Properties=species:S:1:pos:R:3 pbc="T T T"
Na 0.0000 0.0000 0.0000
Na -1.5666 2.7135 -0.0095
Na 1.5665 2.7135 -0.0095
Pd 0.0000 -1.8000 2.6624
Rh 3.1332 -1.8000 2.6624
Rh 1.5666 0.9135 2.6529
Rh -1.5666 0.9136 2.6529
O 0.0000 1.8143 1.5956
O 3.1332 0.0128 3.7102
O 3.1331 1.8259 1.6261
O 0.0000 0.0011 3.6796
O 4.7098 -0.9049 1.6357
O -1.5767 2.7320 3.6700
O 1.5565 -0.9049 1.6357
O 1.5766 2.7320 3.6700
```

***

Entry 6:
Below is a relaxed structure of Na2PdRhO4, with properties calculated at the PBE-GGA level.

Cell and atoms, written as extended XYZ:
```
8
Lattice="-2.0466 2.2829 0.0453 -4.5100 -4.0006 -2.1479 0.9535 0.7399 5.7900" Properties=species:S:1:pos:R:3 pbc="T T T"
Na -0.5465 1.5114 2.9176
Na -1.7783 -1.6303 1.8211
Pd 0.0000 0.0000 0.0000
Rh -3.2783 -0.8588 -1.0513
O -2.0401 0.2263 0.2034
O -3.5630 -1.2040 3.4840
O -0.7263 -0.7237 3.6573
O -2.8302 -2.5370 -0.0152
```

***

Entry 7:
Below is a relaxed structure of Na3Pd3RuO8, with properties calculated at the PBE-GGA level.

Cell and atoms, written as extended XYZ:
```
15
Lattice="6.0452 0.0000 0.0000 -3.0226 6.3580 0.4874 0.0000 -3.7345 4.9481" Properties=species:S:1:pos:R:3 pbc="T T T"
Na 0.0000 0.0000 0.0000
Na -1.5113 3.1790 0.2437
Na 1.5113 3.1790 0.2437
Pd 3.0226 -1.8672 2.4740
Pd 1.5113 1.3118 2.7177
Pd -1.5113 1.3118 2.7177
Ru 0.0000 -1.8672 2.4740
O 0.0000 2.5453 2.1104
O 3.0226 0.0782 3.3250
O 3.0226 2.5924 2.1720
O 0.0000 0.0311 3.2634
O 1.5728 4.9408 1.7293
O 1.4498 -2.3173 3.7061
O -1.5728 4.9408 1.7293
O 4.5954 -2.3173 3.7061
```

***

Entry 8:
Below is a relaxed structure of NaPd2RuO6, with properties calculated at the PBE-GGA level.

Cell and atoms, written as extended XYZ:
```
10
Lattice="-1.2904 4.6699 -2.1776 -2.2765 -4.4664 -1.7518 -1.9608 -1.0855 5.3093" Properties=species:S:1:pos:R:3 pbc="T T T"
Na -2.2000 -2.7412 1.8037
Pd -3.2655 -1.2000 -0.7374
Pd -3.2622 0.5135 2.9341
Ru -5.4058 -0.8779 1.2190
O -4.2144 -2.4225 0.8752
O -1.0490 1.5977 -0.2831
O -2.9694 0.3258 -2.1715
O -1.2773 -1.3925 -0.0417
O -3.7342 0.1573 0.9749
O -1.8970 -0.9928 3.1710
```

***

Entry 9:
Below is a relaxed structure of Na2PdRuO4, with properties calculated at the PBE-GGA level.

Cell and atoms, written as extended XYZ:
```
8
Lattice="5.2370 0.1855 0.2842 -2.0636 4.8168 -0.2842 -2.0636 -2.1987 4.2952" Properties=species:S:1:pos:R:3 pbc="T T T"
Na 0.5549 3.1557 1.0027
Na 0.0000 0.0000 0.0000
Pd 0.5549 -0.3520 3.2925
Ru -2.0636 1.3091 2.0055
O 1.2910 1.3713 2.2942
O -1.2128 -0.3710 2.1166
O 3.8639 2.1970 0.6808
O -1.7224 2.4102 3.4988
```

***

Entry 10:
Below is a relaxed structure of Na4Pd3RuO8, with properties calculated at the PBE-GGA level.

Cell and atoms, written as extended XYZ:
```
16
Lattice="-3.7551 0.3305 -4.8141 4.0507 -3.0120 -3.3664 -2.7543 -3.0878 5.8193" Properties=species:S:1:pos:R:3 pbc="T T T"
Na -1.8775 0.1652 -2.4070
Na -3.2547 -1.3787 0.5026
Na 0.0000 0.0000 0.0000
Na -1.3771 -1.5439 2.9096
Pd 0.1478 -1.3407 -4.0902
Pd -1.2293 -2.8847 -1.1806
Pd 0.6482 -3.0499 1.2264
Ru 2.0254 -1.5060 -1.6832
O 1.7895 -2.3998 -3.4661
O 0.8171 -2.9255 -0.8382
O -1.3628 -2.9007 0.8639
O -0.1228 -2.2315 -5.9177
O -2.3358 -3.5378 3.5565
O -1.0958 -2.8687 -3.2251
O -3.2757 -2.8438 -1.5230
O -4.2481 -3.3695 1.1049
```

***

Entry 11:
Below is a relaxed structure of NaPdS2O8, with properties calculated at the PBE-GGA level.

Cell and atoms, written as extended XYZ:
```
12
Lattice="-1.3255 4.7741 -0.0278 -4.6688 1.0026 1.3216 2.2391 0.4888 6.9139" Properties=species:S:1:pos:R:3 pbc="T T T"
Na 1.1196 0.2444 3.4570
Pd 0.0000 0.0000 0.0000
S -3.3633 3.8119 2.3212
S -0.3920 2.4536 5.8866
O -0.2499 3.9747 5.7310
O -4.3048 4.2813 1.3003
O -3.4785 4.3886 3.6477
O -0.2768 1.8769 4.5601
O 0.5495 1.9843 6.9075
O -1.8272 2.1953 6.3677
O -1.9281 4.0702 1.8401
O -3.5054 2.2909 2.4768
```

***

Entry 12:
Below is a relaxed structure of Na2SbPd2O6, with properties calculated at the PBE-GGA level.

Cell and atoms, written as extended XYZ:
```
11
Lattice="5.4413 0.2539 -0.0693 -2.4687 4.8557 -0.0693 -1.1912 -2.0476 5.5935" Properties=species:S:1:pos:R:3 pbc="T T T"
Na 3.9838 1.1018 -0.0693
Na -1.0112 4.0078 -0.0693
Sb -0.5956 -1.0238 2.7968
Pd -0.4363 2.3030 2.7275
Pd 2.2177 0.7590 2.7275
O 1.4384 2.4725 3.6857
O -1.5680 0.2861 3.9775
O 0.3430 0.5895 1.7693
O 1.0237 -1.2217 3.9775
O 3.3494 2.7759 1.4775
O 0.7577 4.2837 1.4775
```

***

Entry 13:
Below is a relaxed structure of NaSb2PdO8, with properties calculated at the PBE-GGA level.

Cell and atoms, written as extended XYZ:
```
12
Lattice="-2.3059 3.4254 -3.7264 -2.9038 -4.3069 1.9889 -2.2098 3.6859 4.7556" Properties=species:S:1:pos:R:3 pbc="T T T"
Na -1.1049 1.8430 2.3778
Sb -2.6717 1.1257 -1.4630
Sb -4.7478 1.6787 4.4810
Pd 0.0000 0.0000 0.0000
O -5.9397 3.6232 1.8906
O -3.5844 3.1353 3.3633
O -3.7152 5.3323 1.5996
O -1.4798 -0.8188 1.1274
O -3.8351 -0.3309 -0.3452
O -3.7043 -2.5279 1.4184
O -3.3378 2.2367 -0.0296
O -4.0817 0.5677 3.0476
```

***

Entry 14:
Below is a relaxed structure of Na3Sc2PdO6, with properties calculated at the PBE-GGA level.

Cell and atoms, written as extended XYZ:
```
12
Lattice="-0.2063 4.0728 3.7063 1.9766 -4.9581 1.3703 4.4846 1.8794 -3.0750" Properties=species:S:1:pos:R:3 pbc="T T T"
Na 3.8654 -2.5559 0.2111
Na 2.3895 3.5501 1.7905
Na 3.1275 0.4971 1.0008
Sc 1.2561 -1.9773 2.1414
Sc 0.5142 1.0920 2.9353
Pd 0.0000 0.0000 0.0000
O 4.4785 2.3764 1.8225
O 2.2003 -0.2786 3.1330
O 1.7764 -1.3822 0.1791
O 5.2369 -0.7609 1.0110
O 4.0547 1.2727 -1.1314
O 1.0181 1.7551 0.9906
```

***

Entry 15:
Below is a relaxed structure of Na2ScPd2O6, with properties calculated at the PBE-GGA level.

Cell and atoms, written as extended XYZ:
```
11
Lattice="5.4100 0.0201 0.0174 -2.6565 4.7130 0.0174 -1.0235 -1.7594 5.5479" Properties=species:S:1:pos:R:3 pbc="T T T"
Na 4.0146 0.8320 0.0174
Na -1.2610 3.9011 0.0174
Sc -0.5118 -0.8797 2.7740
Pd -0.4564 2.2557 2.7914
Pd 2.1865 0.7181 2.7914
O 1.3209 2.2704 3.8928
O -1.4888 0.6809 3.8717
O 0.4092 0.7033 1.6899
O 1.3278 -0.9578 3.8717
O 3.2189 2.2929 1.7110
O 0.4023 3.9315 1.7110
```

***

Entry 16:
Below is a relaxed structure of Na3Sc3PdO8, with properties calculated at the PBE-GGA level.

Cell and atoms, written as extended XYZ:
```
15
Lattice="6.3016 0.0000 0.0000 -3.1508 5.4575 -0.0196 0.0000 -3.6196 5.5267" Properties=species:S:1:pos:R:3 pbc="T T T"
Na 0.0000 0.0000 0.0000
Na -1.5754 2.7288 -0.0098
Na 1.5754 2.7288 -0.0098
Sc 3.1508 -1.8098 2.7634
Sc 1.5754 0.9190 2.7536
Sc -1.5754 0.9190 2.7536
Pd 0.0000 -1.8098 2.7634
O 0.0000 1.8246 1.6546
O 3.1508 0.0133 3.8525
O 3.1508 1.8834 1.6550
O 0.0000 -0.0455 3.8521
O 4.7771 -0.9335 1.6652
O -1.6263 2.7715 3.8419
O 1.5246 -0.9335 1.6652
O 1.6262 2.7714 3.8419
```

***

Entry 17:
Below is a relaxed structure of Na2ScPdO4, with properties calculated at the PBE-GGA level.

Cell and atoms, written as extended XYZ:
```
8
Lattice="3.2469 0.0000 0.0000 0.0000 5.3459 0.1033 0.0000 -1.8549 5.4520" Properties=species:S:1:pos:R:3 pbc="T T T"
Na 1.6235 -0.9275 2.7260
Na 0.0000 1.7455 2.7776
Sc 0.0000 0.0000 0.0000
Pd 1.6235 2.6730 0.0516
O 1.6235 0.8804 1.1326
O 1.6235 2.6106 4.4227
O 0.0000 -0.0921 4.2911
O 0.0000 3.5831 1.2642
```

***

Entry 18:
Below is a relaxed structure of Na2PdSeO4, with properties calculated at the PBE-GGA level.

Cell and atoms, written as extended XYZ:
```
8
Lattice="5.2547 0.2063 0.3160 -2.0524 4.8417 -0.3160 -2.0524 -2.2378 4.3052" Properties=species:S:1:pos:R:3 pbc="T T T"
Na 0.5750 3.1750 0.9973
Na 0.0000 0.0000 0.0000
Pd 0.5750 -0.3648 3.3079
Se -2.0524 1.3020 1.9946
O 1.2773 1.3715 2.4017
O -1.1068 -0.3806 2.0831
O 3.8988 2.1491 0.6262
O -1.7693 2.4804 3.4992
```

***

Entry 19:
Below is a relaxed structure of NaPdSeO6, with properties calculated at the PBE-GGA level.

Cell and atoms, written as extended XYZ:
```
9
Lattice="5.0594 0.0000 0.0001 2.5298 4.3814 0.0001 0.0002 -0.0002 5.2397" Properties=species:S:1:pos:R:3 pbc="T T T"
Na 5.0593 0.0001 0.0001
Pd 5.0594 2.9209 2.6199
Se 2.5297 1.4604 2.6198
O 1.0338 1.5635 1.5683
O 1.8710 0.1134 3.6715
O 4.0256 1.5635 3.6715
O 1.6924 2.7043 3.6714
O 3.3670 2.7044 1.5683
O 3.1883 0.1134 1.5683
```

***

Entry 20:
Below is a relaxed structure of Na2SiPdO4, with properties calculated at the PBE-GGA level.

Cell and atoms, written as extended XYZ:
```
8
Lattice="5.0320 0.2216 0.3394 -1.9436 4.6467 -0.3394 -1.9436 -2.1807 4.1173" Properties=species:S:1:pos:R:3 pbc="T T T"
Na 0.5723 3.0507 0.9445
Na 0.0000 0.0000 0.0000
Si -1.9436 1.2330 1.8889
Pd 0.5723 -0.3631 3.1728
O 1.4309 1.2848 2.2142
O -1.1873 -0.2428 2.0500
O 3.6410 2.1000 0.7951
O -1.5952 2.2332 3.1751
```

***

| no. | formation energy from raw total energies (eV/atom) |
| --- | --- |
| 1 | -1.012 |
| 2 | -0.957 |
| 3 | -0.918 |
| 4 | -1.041 |
| 5 | -0.999 |
| 6 | -1.014 |
| 7 | -0.904 |
| 8 | -0.711 |
| 9 | -0.916 |
| 10 | -0.995 |
| 11 | -1.198 |
| 12 | -1.053 |
| 13 | -0.809 |
| 14 | -2.156 |
| 15 | -1.437 |
| 16 | -2.372 |
| 17 | -1.817 |
| 18 | -0.839 |
| 19 | -0.646 |
| 20 | -1.729 |